Record 1
DFT (PBE-GGA) results for a geometry-optimized Na4TbPd3O8 structure.

The space group is C2/m (No. 12) and the conventional cell measures 12.1542, 6.2187 and 6.4840 Å, with angles of 90.00, 122.03 and 90.00 degrees. The inequivalent atoms are Na at (0.0000, 0.0000, 0.0000), Na at (0.0000, 0.5000, 0.0000), Na at (0.2500, 0.2500, 0.0000), Tb at (0.0000, 0.0000, 0.5000), Pd at (0.0000, 0.5000, 0.5000), Pd at (0.2500, 0.2500, 0.5000), O at (0.0253, 0.2677, 0.7532), O at (0.2000, 0.5000, 0.6491) and O at (0.2283, 0.0000, 0.6848).

The calculation puts the calculated density at 5.581 g/cm³. As for the formation energy without anion corrections: -1.30 eV per atom.



Record 2
DFT (PBE-GGA) results for a geometry-optimized NaTc2PdO8 structure.

The space group is P-3m1 (No. 164) and the conventional cell measures 5.8886, 5.8886 and 6.6772 Å, with angles of 90.00, 90.00 and 120.00 degrees. The inequivalent atoms are Na at (0.0000, 0.0000, 0.0000), Tc at (0.3333, 0.6667, 0.2026), Pd at (0.0000, 0.0000, 0.5000), O at (0.1687, 0.3374, 0.2839) and O at (0.3333, 0.6667, 0.9437).

The calculation puts the calculated density at 3.755 g/cm³. As for the formation energy without anion corrections: -1.24 eV per atom.



Record 3
DFT (PBE-GGA) results for a geometry-optimized Na4TePd3O8 structure.

The space group is C2/m (No. 12) and the conventional cell measures 12.0420, 6.3103 and 6.1618 Å, with angles of 90.00, 115.66 and 90.00 degrees. The inequivalent atoms are Na at (0.0000, 0.0000, 0.0000), Na at (0.0000, 0.5000, 0.0000), Na at (0.2500, 0.2500, 0.5000), Te at (0.0000, 0.0000, 0.5000), Pd at (0.0000, 0.5000, 0.5000), Pd at (0.2500, 0.2500, 0.0000), O at (0.0387, 0.2189, 0.3198), O at (0.1839, 0.0000, 0.7455) and O at (0.1938, 0.5000, 0.7602).

The calculation puts the calculated density at 5.247 g/cm³. As for the formation energy without anion corrections: -1.01 eV per atom.



Record 4
DFT (PBE-GGA) results for a geometry-optimized NaTePdO6 structure.

The space group is P-31c (No. 163) and the conventional cell measures 5.2375, 5.2375 and 10.4305 Å, with angles of 90.00, 90.00 and 120.00 degrees. The inequivalent atoms are Na at (0.0000, 0.0000, 0.0000), Te at (0.3333, 0.6667, 0.2500), Pd at (0.3333, 0.6667, 0.7500) and O at (0.0065, 0.3714, 0.1453).

The calculation puts the calculated density at 4.731 g/cm³. As for the formation energy without anion corrections: -0.82 eV per atom.



Record 5
DFT (PBE-GGA) results for a geometry-optimized Na2TePdO4 structure.

The space group is I-4 (No. 82) and the conventional cell measures 6.0035, 6.0035 and 6.4660 Å, with angles of 90.00, 90.00 and 90.00 degrees. The inequivalent atoms are Na at (0.0000, 0.0000, 0.0000), Na at (0.0000, 0.5000, 0.2500), Te at (0.0000, 0.0000, 0.5000), Pd at (0.0000, 0.5000, 0.7500) and O at (0.1630, 0.1982, 0.7155).

The calculation puts the calculated density at 4.902 g/cm³. As for the formation energy without anion corrections: -0.98 eV per atom.



Record 6
DFT (PBE-GGA) results for a geometry-optimized NaTe2PdO8 structure.

The space group is P-3 (No. 147) and the conventional cell measures 5.7641, 5.7641 and 6.3134 Å, with angles of 90.00, 90.00 and 120.00 degrees. The inequivalent atoms are Na at (0.0000, 0.0000, 0.0000), Te at (0.3333, 0.6667, 0.4406), Pd at (0.0000, 0.0000, 0.5000), O at (0.0753, 0.3715, 0.6301) and O at (0.3333, 0.6667, 0.1509).

The calculation puts the calculated density at 4.686 g/cm³. As for the formation energy without anion corrections: -0.62 eV per atom.



- Which value of formation energy without anion corrections does entry 2 give?
  -1.24 eV per atom